Tl2Sb2PbAu7: optimized geometry, PBE-GGA.

Lattice parameters (Å, degrees): 4.622 4.622 14.866 91.99 91.99 96.50
Fractional coordinates of all 12 atoms:
Tl  0.869  0.869  0.390
Tl  0.131  0.131  0.610
Sb  0.635  0.635  0.759
Sb  0.365  0.365  0.241
Pb  0.000  0.000  0.000
Au  0.500  0.500  0.000
Au  0.377  0.377  0.423
Au  0.623  0.623  0.577
Au  0.887  0.471  0.148
Au  0.471  0.887  0.148
Au  0.529  0.113  0.852
Au  0.113  0.529  0.852

Properties
The total energy is -0.12100 Ha/atom. Its space group is C2/m (12). The magnetization is 0.0 μB per formula unit. For the uncorrected formation energy, the calculation gives 0.12 eV/f.u.


TlSbPbAu: optimized geometry, PBE-GGA.

Lattice parameters (Å, degrees): 5.355 5.355 5.355 60.00 60.00 60.00
Fractional coordinates of all 4 atoms:
Pb  0.250  0.250  0.250
Sb  0.500  0.500  0.500
Tl  0.750  0.750  0.750
Au  0.000  0.000  0.000

Properties
The total energy is -0.12102 Ha/atom. Its space group is F-43m (216). The energy relative to the lowest polymorph listed for this composition comes out at 70.0 meV per atom. The magnetization is 0.0 μB per formula unit. For the uncorrected formation energy, the calculation gives 0.30 eV/f.u.


TlSbPbAu: optimized geometry, PBE-GGA.

Lattice parameters (Å, degrees): 4.637 4.637 6.950 89.57 109.70 120.40
Fractional coordinates of all 4 atoms:
Tl  0.959  0.846  0.805
Sb  0.557  0.643  0.199
Pb  0.403  0.062  0.464
Au  0.774  0.254  0.028

Properties
The total energy is -0.12360 Ha/atom. Its space group is Cm (8). The energy relative to the lowest polymorph listed for this composition comes out at 0.0 meV per atom. The magnetization is 0.0 μB per formula unit. For the uncorrected formation energy, the calculation gives 0.02 eV/f.u.


TlSbPb2Au4: optimized geometry, PBE-GGA.

Lattice parameters (Å, degrees): 5.939 5.939 7.186 114.40 114.39 90.02
Fractional coordinates of all 8 atoms:
Tl  0.937  0.937  0.000
Sb  0.437  0.437  0.000
Pb  0.187  0.687  0.500
Pb  0.687  0.187  0.500
Au  0.936  0.437  0.000
Au  0.437  0.936  0.000
Au  0.193  0.193  0.510
Au  0.682  0.682  0.490

Properties
The total energy is -0.12486 Ha/atom. Its space group is Fmm2 (42). The magnetization is 0.0 μB per formula unit. For the uncorrected formation energy, the calculation gives -0.17 eV/f.u.


TlSbPb2Au2: optimized geometry, PBE-GGA.

Lattice parameters (Å, degrees): 5.867 5.867 6.934 115.03 115.03 90.00
Fractional coordinates of all 6 atoms:
Tl  0.500  0.500  0.000
Sb  0.000  0.000  0.000
Pb  0.250  0.750  0.500
Pb  0.750  0.250  0.500
Au  0.754  0.754  0.507
Au  0.246  0.246  0.493

Properties
The total energy is -0.11931 Ha/atom. Its space group is I4/mmm (139). The magnetization is 0.0 μB per formula unit. For the uncorrected formation energy, the calculation gives 0.98 eV/f.u.


ZnSbPb2Au6: optimized geometry, PBE-GGA.

Lattice parameters (Å, degrees): 9.126 5.850 9.133 71.22 37.39 89.97
Fractional coordinates of all 10 atoms:
Zn  0.500  0.500  0.000
Sb  0.000  0.000  0.000
Pb  0.197  0.803  0.393
Pb  0.803  0.197  0.607
Au  0.255  0.745  0.001
Au  0.745  0.745  0.998
Au  0.255  0.255  0.489
Au  0.745  0.255  0.999
Au  0.255  0.255  0.002
Au  0.745  0.745  0.511

Properties
The total energy is -0.11945 Ha/atom. Its space group is C2/m (12). The magnetization is 0.0 μB per formula unit. For the uncorrected formation energy, the calculation gives -0.03 eV/f.u.


ZnSb2Pb3Au6: optimized geometry, PBE-GGA.

Lattice parameters (Å, degrees): 5.829 5.829 9.813 90.00 90.00 120.00
Fractional coordinates of all 12 atoms:
Zn  0.000  0.000  0.500
Sb  0.667  0.333  0.947
Sb  0.333  0.667  0.053
Pb  0.333  0.667  0.577
Pb  0.667  0.333  0.423
Pb  0.000  0.000  0.000
Au  0.668  0.834  0.286
Au  0.166  0.332  0.286
Au  0.166  0.834  0.286
Au  0.834  0.668  0.714
Au  0.332  0.166  0.714
Au  0.834  0.166  0.714

Properties
The total energy is -0.12473 Ha/atom. Its space group is P-3m1 (164). The magnetization is 0.0 μB per formula unit. For the uncorrected formation energy, the calculation gives -0.42 eV/f.u.


Sc5PbAu4: optimized geometry, PBE-GGA.

Lattice parameters (Å, degrees): 3.398 3.398 17.937 90.00 90.00 90.00
Fractional coordinates of all 10 atoms:
Sc  0.500  0.500  0.120
Sc  0.500  0.500  0.310
Sc  0.500  0.500  0.500
Sc  0.500  0.500  0.690
Sc  0.500  0.500  0.880
Pb  0.000  0.000  0.000
Au  0.000  0.000  0.216
Au  0.000  0.000  0.405
Au  0.000  0.000  0.595
Au  0.000  0.000  0.784

Properties
The total energy is -0.20409 Ha/atom. Its space group is P4/mmm (123). The magnetization is 0.0 μB per formula unit. For the formation energy, the calculation gives -0.706 eV per atom.


Sc2PbAu: optimized geometry, PBE-GGA.

Lattice parameters (Å, degrees): 3.499 3.501 7.211 90.00 90.00 90.00
Fractional coordinates of all 4 atoms:
Pb  0.500  0.500  0.750
Sc  0.000  0.000  0.023
Sc  0.000  0.000  0.477
Au  0.500  0.500  0.250

Properties
The total energy is -0.20059 Ha/atom. Its space group is P4/mmm (123). The magnetization is 0.0 μB per formula unit. For the formation energy, the calculation gives -0.546 eV per atom.


ScPbAu2: optimized geometry, PBE-GGA.

Lattice parameters (Å, degrees): 5.052 5.052 5.310 77.02 77.02 42.16
Fractional coordinates of all 4 atoms:
Au  0.003  0.003  0.980
Au  0.258  0.258  0.223
Pb  0.504  0.504  0.484
Sc  0.735  0.735  0.812

Properties
The total energy is -0.16567 Ha/atom. Its space group is Cm (8). The magnetization is 0.0 μB per formula unit. For the formation energy, the calculation gives -0.359 eV per atom.


Sc2PbAu: optimized geometry, PBE-GGA.

Lattice parameters (Å, degrees): 3.500 4.336 6.069 90.00 90.00 90.00
Last column: magnetic moment on the atom in μB.
Fractional coordinates of all 4 atoms:
Au  0.000  0.000  0.456  0.01
Pb  0.500  0.500  0.777  0.00
Sc  0.000  0.000  0.982  0.07
Sc  0.500  0.500  0.285  0.07

Properties
The total energy is -0.19449 Ha/atom. Its space group is Pmm2 (25). The magnetization is 0.2 μB per formula unit. For the formation energy, the calculation gives -0.380 eV per atom.


ScPbAu2: optimized geometry, PBE-GGA.

Lattice parameters (Å, degrees): 4.849 4.849 5.711 77.48 77.48 43.38
Fractional coordinates of all 4 atoms:
Au  0.014  0.014  0.957
Au  0.486  0.486  0.543
Pb  0.250  0.250  0.250
Sc  0.750  0.750  0.750

Properties
The total energy is -0.16672 Ha/atom. Its space group is C2/m (12). The magnetization is 0.0 μB per formula unit. For the formation energy, the calculation gives -0.388 eV per atom.


ScPbAu: optimized geometry, PBE-GGA.

Lattice parameters (Å, degrees): 6.301 4.519 9.759 90.00 90.00 90.00
Fractional coordinates of all 12 atoms:
Pb  0.128  0.250  0.411
Pb  0.372  0.750  0.911
Pb  0.872  0.750  0.589
Pb  0.628  0.250  0.089
Sc  0.640  0.250  0.406
Sc  0.860  0.750  0.906
Sc  0.360  0.750  0.594
Sc  0.140  0.250  0.094
Au  0.070  0.250  0.803
Au  0.430  0.750  0.303
Au  0.930  0.750  0.197
Au  0.570  0.250  0.697

Properties
The total energy is -0.17767 Ha/atom. Its space group is Pnma (62). The magnetization is 0.0 μB per formula unit. For the formation energy, the calculation gives -0.396 eV per atom.


ScPbAu: optimized geometry, PBE-GGA.

Lattice parameters (Å, degrees): 4.609 4.137 7.414 89.99 71.79 90.00
Fractional coordinates of all 6 atoms:
Sc  0.795  0.389  0.236
Sc  0.484  0.389  0.859
Pb  0.127  0.389  0.575
Pb  0.319  0.889  0.189
Au  0.639  0.889  0.555
Au  0.958  0.888  0.912

Properties
The total energy is -0.17833 Ha/atom. Its space group is Pm (6). The magnetization is 0.0 μB per formula unit. For the formation energy, the calculation gives -0.414 eV per atom.


ScPbAu: optimized geometry, PBE-GGA.

Lattice parameters (Å, degrees): 7.336 3.425 7.531 90.00 50.52 76.51
Fractional coordinates of all 6 atoms:
Sc  0.361  0.779  0.387
Sc  0.586  0.666  0.703
Pb  0.151  0.384  0.200
Pb  0.797  0.060  0.890
Au  0.220  0.349  0.770
Au  0.727  0.096  0.320

Properties
The total energy is -0.17845 Ha/atom. Its space group is C2/m (12). The magnetization is 0.0 μB per formula unit. For the formation energy, the calculation gives -0.417 eV per atom.


Sc2PbAu: optimized geometry, PBE-GGA.

Lattice parameters (Å, degrees): 9.819 9.819 9.819 21.14 21.14 21.14
Fractional coordinates of all 4 atoms:
Pb  0.000  0.000  0.000
Sc  0.896  0.896  0.896
Sc  0.104  0.104  0.104
Au  0.500  0.500  0.500

Properties
The total energy is -0.18723 Ha/atom. Its space group is R-3m (166). The magnetization is 0.0 μB per formula unit. For the formation energy, the calculation gives -0.182 eV per atom.


ScPb2Au: optimized geometry, PBE-GGA.

Lattice parameters (Å, degrees): 5.826 5.826 5.826 134.80 134.80 65.84
Fractional coordinates of all 4 atoms:
Au  0.750  0.250  0.500
Pb  0.000  0.000  0.000
Pb  0.500  0.500  0.000
Sc  0.250  0.750  0.500

Properties
The total energy is -0.16229 Ha/atom. Its space group is I4/mmm (139). The energy relative to the lowest polymorph listed for this composition comes out at 172.9 meV per atom. The magnetization is 0.0 μB per formula unit. For the formation energy, the calculation gives -0.160 eV per atom.


Sc2PbAu2: optimized geometry, PBE-GGA.

Lattice parameters (Å, degrees): 4.631 4.631 6.496 69.12 69.12 90.00
Fractional coordinates of all 5 atoms:
Pb  0.000  0.000  0.000
Sc  0.750  0.250  0.500
Sc  0.250  0.750  0.500
Au  0.380  0.380  0.240
Au  0.620  0.620  0.760

Properties
The total energy is -0.18523 Ha/atom. Its space group is I4/mmm (139). The magnetization is 0.0 μB per formula unit. For the formation energy, the calculation gives -0.455 eV per atom.


Sc2Pb2Au: optimized geometry, PBE-GGA.

Lattice parameters (Å, degrees): 7.485 7.485 4.318 90.00 90.00 90.00
Fractional coordinates of all 10 atoms:
Pb  0.357  0.857  0.000
Pb  0.857  0.643  0.000
Pb  0.643  0.143  0.000
Pb  0.143  0.357  0.000
Sc  0.165  0.665  0.500
Sc  0.665  0.835  0.500
Sc  0.835  0.335  0.500
Sc  0.335  0.165  0.500
Au  0.000  0.000  0.000
Au  0.500  0.500  0.000

Properties
The total energy is -0.18106 Ha/atom. Its space group is P4/mbm (127). The energy relative to the lowest polymorph listed for this composition comes out at 58.9 meV per atom. The magnetization is 0.0 μB per formula unit. For the formation energy, the calculation gives -0.255 eV per atom.


ScPb2Au: optimized geometry, PBE-GGA.

Lattice parameters (Å, degrees): 10.218 10.218 10.218 19.22 19.22 19.22
Last column: magnetic moment on the atom in μB.
Fractional coordinates of all 4 atoms:
Au  0.750  0.750  0.750  0.01
Pb  0.005  0.005  0.005  0.02
Pb  0.495  0.495  0.495  0.02
Sc  0.250  0.250  0.250  0.36

Properties
The total energy is -0.15564 Ha/atom. Its space group is R-3m (166). The energy relative to the lowest polymorph listed for this composition comes out at 353.9 meV per atom. The magnetization is 0.7 μB per formula unit. For the formation energy, the calculation gives 0.021 eV per atom.


ScPbAu: optimized geometry, PBE-GGA.

Lattice parameters (Å, degrees): 4.516 6.216 6.249 77.93 111.23 68.65
Fractional coordinates of all 6 atoms:
Sc  0.185  0.076  0.058
Sc  0.313  0.589  0.826
Pb  0.504  0.043  0.664
Pb  0.994  0.621  0.220
Au  0.747  0.496  0.601
Au  0.751  0.168  0.283

Properties
The total energy is -0.17807 Ha/atom. Its space group is C2/m (12). The magnetization is 0.0 μB per formula unit. For the formation energy, the calculation gives -0.406 eV per atom.


Sc4PbAu: optimized geometry, PBE-GGA.

Lattice parameters (Å, degrees): 5.823 5.823 5.823 60.00 60.00 60.00
Fractional coordinates of all 6 atoms:
Sc  0.876  0.375  0.375
Sc  0.375  0.375  0.876
Sc  0.375  0.876  0.375
Sc  0.375  0.375  0.375
Pb  0.000  0.000  0.000
Au  0.750  0.750  0.750

Properties
The total energy is -0.19441 Ha/atom. Its space group is F-43m (216). The magnetization is 0.0 μB per formula unit. For the formation energy, the calculation gives 0.095 eV per atom.


Sc2PbAu: optimized geometry, PBE-GGA.

Lattice parameters (Å, degrees): 3.877 4.760 4.760 90.00 90.00 90.00
Last column: magnetic moment on the atom in μB.
Fractional coordinates of all 4 atoms:
Pb  0.500  0.000  0.000  -0.01
Sc  0.000  0.000  0.500  0.19
Sc  0.000  0.500  0.000  0.19
Au  0.500  0.500  0.500  0.01

Properties
The total energy is -0.19979 Ha/atom. Its space group is P4/mmm (123). The magnetization is 0.5 μB per formula unit. For the formation energy, the calculation gives -0.524 eV per atom.


Sc2PbAu: optimized geometry, PBE-GGA.

Lattice parameters (Å, degrees): 10.032 10.032 10.032 19.45 19.45 19.45
Last column: magnetic moment on the atom in μB.
Fractional coordinates of all 4 atoms:
Au  0.508  0.508  0.508  0.02
Pb  0.754  0.754  0.754  0.03
Sc  0.996  0.996  0.996  0.49
Sc  0.241  0.241  0.241  0.30

Properties
The total energy is -0.18737 Ha/atom. Its space group is R3m (160). The magnetization is 1.4 μB per formula unit. For the formation energy, the calculation gives -0.186 eV per atom.


Sc2PbAu2: optimized geometry, PBE-GGA.

Lattice parameters (Å, degrees): 4.073 4.073 7.700 74.66 74.66 90.00
Fractional coordinates of all 5 atoms:
Pb  0.000  0.000  0.000
Sc  0.386  0.386  0.228
Sc  0.614  0.614  0.772
Au  0.750  0.250  0.500
Au  0.250  0.750  0.500

Properties
The total energy is -0.18033 Ha/atom. Its space group is I4/mmm (139). The magnetization is 0.0 μB per formula unit. For the formation energy, the calculation gives -0.322 eV per atom.


ScPbAu: optimized geometry, PBE-GGA.

Lattice parameters (Å, degrees): 4.697 4.697 3.576 90.00 90.00 120.00
Fractional coordinates of all 3 atoms:
Au  0.000  0.000  0.023
Pb  0.667  0.333  0.276
Sc  0.333  0.667  0.702

Properties
The total energy is -0.17698 Ha/atom. Its space group is P3m1 (156). The magnetization is 0.0 μB per formula unit. For the formation energy, the calculation gives -0.377 eV per atom.


Sc2PbAu: optimized geometry, PBE-GGA.

Lattice parameters (Å, degrees): 4.399 3.811 5.797 70.76 90.00 90.00
Fractional coordinates of all 4 atoms:
Pb  0.500  0.537  0.802
Sc  0.000  0.976  0.923
Sc  0.500  0.264  0.346
Au  0.000  0.723  0.429

Properties
The total energy is -0.20011 Ha/atom. Its space group is Amm2 (38). The magnetization is 0.0 μB per formula unit. For the formation energy, the calculation gives -0.533 eV per atom.


Number 1: V 26.3 Å³/atom. Number 2: V 27.1 Å³/atom. Number 3: V 29.7 Å³/atom. Number 4: V 25.7 Å³/atom. Number 5: V 31.9 Å³/atom. Number 6: V 25.1 Å³/atom. Number 7: V 24.1 Å³/atom. Number 8: V 20.7 Å³/atom. Number 9: V 22.1 Å³/atom. Number 10: V 22.1 Å³/atom. Number 11: V 23.0 Å³/atom. Number 12: V 22.4 Å³/atom. Number 13: V 23.2 Å³/atom. Number 14: V 22.4 Å³/atom. Number 15: V 23.2 Å³/atom. Number 16: V 27.0 Å³/atom. Number 17: V 24.5 Å³/atom. Number 18: V 24.1 Å³/atom. Number 19: V 24.2 Å³/atom. Number 20: V 25.3 Å³/atom. Number 21: V 23.3 Å³/atom. Number 22: V 23.3 Å³/atom. Number 23: V 22.0 Å³/atom. Number 24: V 24.5 Å³/atom. Number 25: V 23.7 Å³/atom. Number 26: V 22.8 Å³/atom. Number 27: V 22.9 Å³/atom.